First-principles (PBE) data for a relaxed structure of HfV2AuN, as listed in the Alexandria database.

The structure in extended XYZ format:
```
5
Lattice="-3.5321 1.7445 -0.6361 -1.7893 -2.8320 2.1684 0.5509 2.4458 3.6488" Properties=species:S:1:pos:R:3 pbc="T T T"
Hf 0.2754 1.2229 1.8244
N 0.0000 0.0000 0.0000
Au -2.3852 0.6792 2.5906
V -0.8946 -1.4160 1.0842
V -1.7660 0.8723 -0.3181
```

Values from the calculation:
Final energy ... -43.38 eV per cell
Magnetization ... 0.000 Bohr magnetons per cell



First-principles (PBE) data for a relaxed structure of Hf2VAuN, as listed in the Alexandria database.

The structure in extended XYZ format:
```
5
Lattice="4.4654 0.0000 0.0000 0.0000 4.4654 0.0000 0.0000 0.0000 3.9117" Properties=species:S:1:pos:R:3 pbc="T T T"
Hf 0.0000 2.2327 0.0000
Hf 2.2327 0.0000 0.0000
N 0.0000 0.0000 0.0000
Au 2.2327 2.2327 1.9558
V 0.0000 0.0000 1.9558
```

Values from the calculation:
Final energy ... -45.00 eV per cell
Magnetization ... 0.003 Bohr magnetons per cell